(1)
Density functional theory data (GGA-PBE) for CrOsRu2 after structural relaxation.

```
CrOsRu2
1.0
2.655 0.004 0.000
-1.188 2.374 0.000
0.000 0.000 8.815
Cr Os Ru
1 1 2
Direct
0.000 0.000 0.499 Cr
0.500 0.500 0.738 Os
0.000 0.000 0.001 Ru
0.500 0.500 0.262 Ru
```

Offset from the most stable computed form, eV/atom: 0.367
Crystal system: orthorhombic
Space group: Cmm2, No. 35

(2)
Density functional theory data (GGA-PBE) for CrOsRu2 after structural relaxation.

```
CrOsRu2
1.0
-3.406 1.898 -2.524
-1.672 0.799 -4.259
-2.774 -3.663 -0.451
Cr Os Ru
1 1 2
Direct
0.250 0.250 0.250 Cr
0.750 0.750 0.750 Os
0.998 0.998 0.005 Ru
0.502 0.502 0.495 Ru
```

Offset from the most stable computed form, eV/atom: 0.020
Crystal system: monoclinic
Space group: C2/m, No. 12

(3)
Density functional theory data (GGA-PBE) for CrOsRu2 after structural relaxation.

```
CrOsRu2
1.0
-0.801 -3.885 2.392
3.779 -0.575 -2.617
1.533 0.922 2.011
Cr Os Ru
1 1 2
Direct
0.500 0.000 0.500 Cr
0.000 0.500 0.500 Os
0.000 0.000 0.000 Ru
0.500 0.500 0.000 Ru
```

Offset from the most stable computed form, eV/atom: 0.016
Crystal system: orthorhombic
Space group: Cmmm, No. 65

(4)
Density functional theory data (GGA-PBE) for CrOsRu3 after structural relaxation.

```
CrOsRu3
1.0
-2.269 5.618 3.797
-3.604 -1.754 -2.434
1.651 -2.657 3.980
Cr Os Ru
2 2 6
Direct
0.349 0.579 0.241 Cr
0.651 0.821 0.759 Cr
0.742 0.783 0.254 Os
0.258 0.617 0.746 Os
0.051 0.020 0.752 Ru
0.847 0.418 0.750 Ru
0.549 0.182 0.248 Ru
0.451 0.218 0.752 Ru
0.153 0.982 0.250 Ru
0.949 0.380 0.248 Ru
```

Offset from the most stable computed form, eV/atom: 0.000
Crystal system: triclinic
Space group: P-1, No. 2

(5)
Density functional theory data (GGA-PBE) for Cr2OsRu6 after structural relaxation.

```
Cr2OsRu6
1.0
6.311 1.470 2.908
3.117 6.844 1.638
1.838 0.895 7.421
Cr Os Ru
4 2 12
Direct
0.120 0.550 0.823 Cr
0.380 0.177 0.450 Cr
0.880 0.450 0.177 Cr
0.620 0.823 0.550 Cr
0.250 0.124 0.876 Os
0.750 0.876 0.124 Os
0.425 0.703 0.485 Ru
0.075 0.515 0.297 Ru
0.575 0.297 0.515 Ru
0.925 0.485 0.703 Ru
0.974 0.935 0.259 Ru
0.526 0.741 0.065 Ru
0.026 0.065 0.741 Ru
0.474 0.259 0.935 Ru
0.333 0.679 0.905 Ru
0.167 0.095 0.321 Ru
0.667 0.321 0.095 Ru
0.833 0.905 0.679 Ru
```

Crystal system: monoclinic
E_tot, eV/atom: -9.34
Space group: C2/c, No. 15

(6)
Density functional theory data (GGA-PBE) for Cr12Os5Ru3 after structural relaxation.

```
Cr12Os5Ru3
1.0
11.957 0.000 0.000
-3.986 11.273 0.000
-3.986 -5.637 9.763
Ru Os Cr
12 20 48
Direct
0.750 0.375 0.125 Ru
0.875 0.750 0.125 Ru
0.375 0.750 0.625 Ru
0.250 0.125 0.375 Ru
0.875 0.125 0.250 Ru
0.375 0.625 0.250 Ru
0.625 0.375 0.750 Ru
0.125 0.875 0.750 Ru
0.750 0.875 0.625 Ru
0.625 0.250 0.375 Ru
0.125 0.250 0.875 Ru
0.250 0.625 0.875 Ru
0.125 0.375 0.250 Os
0.000 0.500 0.000 Os
0.000 0.000 0.000 Os
0.375 0.250 0.125 Os
0.500 0.000 0.500 Os
0.500 0.500 0.000 Os
0.125 0.750 0.375 Os
0.750 0.125 0.875 Os
0.750 0.625 0.375 Os
0.375 0.125 0.750 Os
0.625 0.875 0.250 Os
0.500 0.500 0.500 Os
0.500 0.000 0.000 Os
0.000 0.000 0.500 Os
0.250 0.375 0.625 Os
0.250 0.875 0.125 Os
0.000 0.500 0.500 Os
0.875 0.250 0.625 Os
0.625 0.750 0.875 Os
0.875 0.625 0.750 Os
0.735 0.144 0.068 Cr
0.333 0.568 0.424 Cr
0.932 0.356 0.265 Cr
0.568 0.235 0.144 Cr
0.591 0.735 0.667 Cr
0.932 0.576 0.167 Cr
0.333 0.765 0.409 Cr
0.076 0.909 0.144 Cr
0.576 0.932 0.667 Cr
0.735 0.591 0.167 Cr
0.765 0.432 0.356 Cr
0.833 0.924 0.068 Cr
0.144 0.735 0.568 Cr
0.356 0.424 0.091 Cr
0.091 0.924 0.356 Cr
0.409 0.144 0.576 Cr
0.091 0.167 0.235 Cr
0.432 0.667 0.076 Cr
0.833 0.909 0.265 Cr
0.144 0.409 0.076 Cr
0.356 0.932 0.765 Cr
0.576 0.644 0.409 Cr
0.924 0.833 0.568 Cr
0.765 0.333 0.909 Cr
0.424 0.356 0.591 Cr
0.076 0.167 0.432 Cr
0.235 0.667 0.091 Cr
0.167 0.091 0.735 Cr
0.644 0.068 0.235 Cr
0.856 0.591 0.924 Cr
0.568 0.333 0.924 Cr
0.591 0.856 0.424 Cr
0.909 0.833 0.765 Cr
0.909 0.076 0.644 Cr
0.856 0.265 0.432 Cr
0.167 0.076 0.932 Cr
0.644 0.576 0.909 Cr
0.424 0.068 0.333 Cr
0.265 0.409 0.833 Cr
0.235 0.568 0.644 Cr
0.924 0.091 0.856 Cr
0.667 0.235 0.591 Cr
0.432 0.765 0.856 Cr
0.068 0.424 0.833 Cr
0.409 0.265 0.333 Cr
0.068 0.644 0.735 Cr
0.667 0.432 0.576 Cr
0.265 0.856 0.932 Cr
```

Crystal system: cubic
E_tot, eV/atom: -8.88
Space group: Ia-3d, No. 230

(7)
Density functional theory data (GGA-PBE) for CrOsRu2 after structural relaxation.

```
CrOsRu2
1.0
-2.533 6.710 -5.130
-4.354 4.885 -5.910
-4.806 6.388 -3.721
Cr Os Ru
1 1 2
Direct
0.250 0.250 0.250 Cr
0.750 0.750 0.750 Os
0.997 0.997 0.997 Ru
0.503 0.503 0.503 Ru
```

Offset from the most stable computed form, eV/atom: 0.075
Crystal system: trigonal
Space group: R-3m, No. 166

(8)
Density functional theory data (GGA-PBE) for CrOsRu2 after structural relaxation.

```
CrOsRu2
1.0
2.654 0.000 0.000
-1.194 2.370 0.000
0.000 0.000 8.829
Cr Os Ru
1 1 2
Direct
0.500 0.500 0.250 Cr
0.500 0.500 0.750 Os
0.000 0.000 0.014 Ru
0.000 0.000 0.486 Ru
```

Offset from the most stable computed form, eV/atom: 0.389
Crystal system: orthorhombic
Space group: Cmmm, No. 65

For reference, magnetic moment by record: 0.4, 0.0, 0.5, 0.0, 0.0, 1.6, 0.0, 0.5 μB per formula unit.